No. 1
Entry from Alexandria via LeMat-Bulk: an optimized crystal structure of Hf3CoSb (GGA-PBE).

Unit cell a=4.7883 b=4.7883 c=4.7883 alpha=90.00 beta=90.00 gamma=90.00
Space group Pm-3m (No. 221)
Asymmetric unit:
Hf  0.0000  0.0000  0.5000
Co  0.0000  0.0000  0.0000
Sb  0.5000  0.5000  0.5000

VASP energy	-8.335	eV/atom
E_form (uncorrected)	-57	kJ/mol of formula units
E above lowest polymorph	0.154	eV per atom
N(E_F)	2.0	states/eV/cell

No. 2
Entry from Alexandria via LeMat-Bulk: an optimized crystal structure of BaLiF2 (GGA-PBE).

Unit cell a=4.4096 b=4.4096 c=16.8012 alpha=90.00 beta=90.00 gamma=120.00
Space group R-3m (No. 166, hexagonal axes)
Asymmetric unit:
Ba  0.0000  0.0000  0.0000
Li  0.0000  0.0000  0.5000
F  0.0000  0.0000  0.3886

VASP energy	-4.689	eV/atom
E_form (uncorrected)	-1078	kJ/mol of formula units
E above lowest polymorph	0.000	eV per atom
N(E_F)	3.3	states/eV/cell

No. 3
Entry from Alexandria via LeMat-Bulk: an optimized crystal structure of Na2Y2Mo (GGA-PBE).

Unit cell a=7.4299 b=7.4299 c=4.6454 alpha=90.00 beta=90.00 gamma=90.00
Space group P4/mbm (No. 127)
Asymmetric unit:
Na  0.1190  0.3810  0.0000
Y  0.1991  0.6991  0.5000
Mo  0.0000  0.0000  0.0000

VASP energy	-4.342	eV/atom
ΔH_f (0 K)	0.9377	eV/atom
E above lowest polymorph	0.000	eV per atom
N(E_F)	11.9	states/eV/cell

No. 4
Entry from Alexandria via LeMat-Bulk: an optimized crystal structure of K2AsN2 (GGA-PBE).

Unit cell a=4.9217 b=4.9217 c=10.4144 alpha=90.00 beta=90.00 gamma=90.00
Space group I4/mmm (No. 139)
Asymmetric unit:
K  0.0000  0.0000  0.1471
As  0.0000  0.0000  0.5000
N  0.0000  0.5000  0.2500

VASP energy	-3.053	eV/atom
E_form (uncorrected)	794	kJ/mol of formula units
E above lowest polymorph	0.148	eV per atom
N(E_F)	13.0	states/eV/cell